# GGA-PBEsol Bi2OF4, relaxed
# Crystal system: monoclinic
# Calculated total energy: -148.19 eV for the cell shown
# Calculated volume: 14.39 Å³/atom
data_Bi2OF4
_space_group_name_H-M_alt 'C 1 2/c 1'
_space_group_IT_number 15
_cell_length_a 12.829
_cell_length_b 5.636
_cell_length_c 5.716
_cell_angle_alpha 90.00
_cell_angle_beta 102.85
_cell_angle_gamma 90.00
loop_
_space_group_symop_operation_xyz
'x,y,z'
'-x,-y,-z'
'-x,y,-z+1/2'
'x,-y,z+1/2'
'x+1/2,y+1/2,z'
'-x+1/2,-y+1/2,-z'
'-x+1/2,y+1/2,-z+1/2'
'x+1/2,-y+1/2,z+1/2'
loop_
_atom_site_label
_atom_site_type_symbol
_atom_site_fract_x
_atom_site_fract_y
_atom_site_fract_z
_atom_site_occupancy
Bi1 Bi 0.106 0.217 0.084 1
O1 O 0.000 0.038 0.750 1
F1 F 0.077 0.375 0.449 1
F2 F 0.216 0.057 0.832 1


# GGA-PBEsol Bi7O6F9, relaxed
# Crystal system: orthorhombic
# Calculated total energy: -976.89 eV for the cell shown
# Calculated volume: 14.68 Å³/atom
# Excess energy over the best structure of this formula in the dataset: 0 meV per atom
data_Bi7O6F9
_space_group_name_H-M_alt 'A e a 2'
_space_group_IT_number 41
_cell_length_a 11.640
_cell_length_b 39.386
_cell_length_c 5.634
_cell_angle_alpha 90.00
_cell_angle_beta 90.00
_cell_angle_gamma 90.00
loop_
_space_group_symop_operation_xyz
'x,y,z'
'-x,-y,z'
'-x+1/2,y+1/2,z'
'x+1/2,-y+1/2,z'
'x,y+1/2,z+1/2'
'-x,-y+1/2,z+1/2'
'-x+1/2,y,z+1/2'
'x+1/2,-y,z+1/2'
loop_
_atom_site_label
_atom_site_type_symbol
_atom_site_fract_x
_atom_site_fract_y
_atom_site_fract_z
_atom_site_occupancy
Bi1 Bi 0.104 0.107 0.000 1
Bi2 Bi 0.104 0.178 0.432 1
Bi3 Bi 0.104 0.393 0.008 1
Bi4 Bi 0.108 0.035 0.470 1
Bi5 Bi 0.108 0.322 0.464 1
Bi6 Bi 0.109 0.465 0.472 1
Bi7 Bi 0.114 0.250 0.017 1
O1 O 0.000 0.000 0.221 1
O2 O 0.000 0.000 0.721 1
O3 O 0.005 0.072 0.742 1
O4 O 0.005 0.428 0.743 1
O5 O 0.007 0.146 0.718 1
O6 O 0.012 0.283 0.736 1
O7 O 0.012 0.356 0.719 1
F1 F 0.015 0.215 0.734 1
F2 F 0.184 0.190 0.050 1
F3 F 0.186 0.250 0.400 1
F4 F 0.188 0.308 0.074 1
F5 F 0.202 0.128 0.356 1
F6 F 0.203 0.372 0.385 1
F7 F 0.228 0.065 0.155 1
F8 F 0.233 0.434 0.176 1
F9 F 0.250 0.000 0.261 1


# GGA-PBEsol BiOsO2F, relaxed
# Crystal system: tetragonal
# Calculated total energy: -26.16 eV for the cell shown
# Calculated volume: 16.64 Å³/atom
data_BiOsO2F
_space_group_name_H-M_alt 'P 4/m m m'
_space_group_IT_number 123
_space_group_name_Hall '-P 4 2'
_cell_length_a 4.377
_cell_length_b 4.377
_cell_length_c 4.343
_cell_angle_alpha 90.00
_cell_angle_beta 90.00
_cell_angle_gamma 90.00
loop_
_atom_site_label
_atom_site_type_symbol
_atom_site_fract_x
_atom_site_fract_y
_atom_site_fract_z
_atom_site_occupancy
Bi1 Bi 0.000 0.000 0.000 1
Os1 Os 0.500 0.500 0.500 1
O1 O 0.000 0.500 0.000 1
F1 F 0.000 0.000 0.500 1


# GGA-PBEsol BiP2OF, relaxed
# Crystal system: tetragonal
# Calculated total energy: -18.93 eV for the cell shown
# Calculated volume: 23.64 Å³/atom
data_BiP2OF
_space_group_name_H-M_alt 'P 4/m m m'
_space_group_IT_number 123
_space_group_name_Hall '-P 4 2'
_cell_length_a 5.323
_cell_length_b 5.323
_cell_length_c 4.172
_cell_angle_alpha 90.00
_cell_angle_beta 90.00
_cell_angle_gamma 90.00
loop_
_atom_site_label
_atom_site_type_symbol
_atom_site_fract_x
_atom_site_fract_y
_atom_site_fract_z
_atom_site_occupancy
Bi1 Bi 0.000 0.000 0.000 1
P1 P 0.000 0.500 0.000 1
O1 O 0.000 0.000 0.500 1
F1 F 0.500 0.500 0.500 1


# GGA-PBEsol Sr2Ti2Bi2OF2, relaxed
# Crystal system: tetragonal
# Calculated total energy: -115.07 eV for the cell shown
# Calculated volume: 19.88 Å³/atom
data_Sr2Ti2Bi2OF2
_space_group_name_H-M_alt 'I 4/m m m'
_space_group_IT_number 139
_space_group_name_Hall '-I 4 2'
_cell_length_a 4.066
_cell_length_b 4.066
_cell_length_c 21.646
_cell_angle_alpha 90.00
_cell_angle_beta 90.00
_cell_angle_gamma 90.00
loop_
_atom_site_label
_atom_site_type_symbol
_atom_site_fract_x
_atom_site_fract_y
_atom_site_fract_z
_atom_site_occupancy
Sr1 Sr 0.000 0.000 0.185 1
Ti1 Ti 0.000 0.500 0.000 1
Bi1 Bi 0.000 0.000 0.402 1
O1 O 0.000 0.000 0.000 1
F1 F 0.000 0.500 0.250 1


# GGA-PBEsol Ta2BiO6F, relaxed
# Crystal system: orthorhombic
# Calculated total energy: -351.40 eV for the cell shown
# Calculated volume: 14.24 Å³/atom
data_Ta2BiO6F
_space_group_name_H-M_alt 'I m m a'
_space_group_IT_number 74
_space_group_name_Hall '-I 2b 2'
_cell_length_a 7.283
_cell_length_b 7.511
_cell_length_c 10.414
_cell_angle_alpha 90.00
_cell_angle_beta 90.00
_cell_angle_gamma 90.00
loop_
_atom_site_label
_atom_site_type_symbol
_atom_site_fract_x
_atom_site_fract_y
_atom_site_fract_z
_atom_site_occupancy
Ta1 Ta 0.000 0.000 0.000 1
Ta2 Ta 0.250 0.250 0.250 1
Bi1 Bi 0.000 0.000 0.500 1
O1 O 0.000 0.250 0.324 1
O2 O 0.000 0.250 0.948 1
O3 O 0.204 0.064 0.120 1
F1 F 0.000 0.250 0.616 1